1.
Compound: SrPt3Au
Source: Alexandria via LeMat-Bulk
Functional: PBE
Structure: optimized geometry

Cell lengths 5.037, 5.037, 5.037 Å; angles 90.00, 90.00, 90.00 degrees
Element x y z (fractional)
Sr (0.000, 0.000, 0.000)
Pt (0.000, 0.500, 0.500)
Pt (0.500, 0.000, 0.500)
Pt (0.500, 0.500, 0.000)
Au (0.500, 0.500, 0.500)

Calculated values
**Excess energy over the best structure of this formula in the dataset**: 0 meV per atom
**VASP energy**: -4.259 eV per atom
**Crystal system**: cubic

---

2.
Compound: PmSmC
Source: Alexandria via LeMat-Bulk
Functional: PBE
Structure: optimized geometry

Cell lengths 3.664, 3.664, 6.826 Å; angles 104.95, 104.95, 60.03 degrees
Element x y z (fractional)
Pm (0.000, 0.000, 0.000)
Sm (0.471, 0.471, 0.428)
C (0.736, 0.736, 0.217)

Calculated values
**Excess energy over the best structure of this formula in the dataset**: 0 meV per atom
**VASP energy**: -6.382 eV per atom
**Crystal system**: monoclinic

---

3.
Compound: InOs2F
Source: Alexandria via LeMat-Bulk
Functional: PBE
Structure: optimized geometry

Cell lengths 4.454, 4.454, 4.454 Å; angles 60.00, 60.00, 60.00 degrees
Element x y z (fractional)
In (0.000, 0.000, 0.000)
Os (0.250, 0.250, 0.250)
Os (0.750, 0.750, 0.750)
F (0.500, 0.500, 0.500)

Calculated values
**Excess energy over the best structure of this formula in the dataset**: 280 meV per atom
**VASP energy**: -5.778 eV per atom
**Crystal system**: cubic
**Uncorrected formation energy**: 989 meV per atom

---

4.
Compound: Cr2FeMoN
Source: Alexandria via LeMat-Bulk
Functional: PBE
Structure: optimized geometry

Cell lengths 3.850, 3.850, 3.724 Å; angles 90.00, 90.00, 90.00 degrees
Element x y z (fractional)
Cr (0.000, 0.500, 0.000)
Cr (0.500, 0.000, 0.000)
Fe (0.000, 0.000, 0.500)
Mo (0.500, 0.500, 0.500)
N (0.000, 0.000, 0.000)

Calculated values
**VASP energy**: -9.505 eV per atom
**Crystal system**: tetragonal
**Uncorrected formation energy**: -132 meV per atom

---

5.
Compound: TaAs2OsBr
Source: Alexandria via LeMat-Bulk
Functional: PBE
Structure: optimized geometry

Cell lengths 5.017, 5.017, 4.986 Å; angles 90.00, 90.00, 90.00 degrees
Element x y z (fractional)
Ta (0.000, 0.000, 0.000)
As (0.000, 0.500, 0.000)
As (0.500, 0.000, 0.000)
Os (0.500, 0.500, 0.500)
Br (0.000, 0.000, 0.500)

Calculated values
**Excess energy over the best structure of this formula in the dataset**: 84 meV per atom
**VASP energy**: -5.444 eV per atom
**Crystal system**: tetragonal
**Uncorrected formation energy**: 1367 meV per atom

---

6.
Compound: Al5CoRu4
Source: Alexandria via LeMat-Bulk
Functional: PBE
Structure: optimized geometry

Cell lengths 2.985, 2.985, 14.862 Å; angles 90.00, 90.00, 90.00 degrees
Element x y z (fractional)
Al (0.000, 0.000, 0.000)
Al (0.000, 0.000, 0.204)
Al (0.000, 0.000, 0.405)
Al (0.000, 0.000, 0.595)
Al (0.000, 0.000, 0.796)
Co (0.500, 0.500, 0.500)
Ru (0.500, 0.500, 0.102)
Ru (0.500, 0.500, 0.306)
Ru (0.500, 0.500, 0.694)
Ru (0.500, 0.500, 0.898)

Calculated values
**VASP energy**: -6.936 eV per atom
**Crystal system**: tetragonal

---

7.
Compound: La2Ge4Rh5
Source: Alexandria via LeMat-Bulk
Functional: PBE
Structure: optimized geometry

Cell lengths 8.841, 7.873, 5.720 Å; angles 79.41, 61.09, 39.49 degrees
Element x y z (fractional)
La (0.130, 0.130, 0.870)
La (0.870, 0.870, 0.130)
Ge (0.213, 0.528, 0.472)
Ge (0.472, 0.787, 0.213)
Ge (0.528, 0.213, 0.787)
Ge (0.787, 0.472, 0.528)
Rh (0.000, 0.000, 0.500)
Rh (0.250, 0.250, 0.250)
Rh (0.500, 0.500, 0.000)
Rh (0.500, 0.500, 0.500)
Rh (0.750, 0.750, 0.750)

Calculated values
**VASP energy**: -6.738 eV per atom
**Crystal system**: orthorhombic

---

8.
Compound: CeY2Zr
Source: Alexandria via LeMat-Bulk
Functional: PBE
Structure: optimized geometry

Cell lengths 11.356, 11.356, 11.356 Å; angles 17.48, 17.48, 17.48 degrees
Element x y z (fractional)
Ce (0.000, 0.000, 0.000)
Y (0.421, 0.421, 0.421)
Y (0.580, 0.580, 0.580)
Zr (0.834, 0.834, 0.834)

Calculated values
**Excess energy over the best structure of this formula in the dataset**: 0 meV per atom
**VASP energy**: -6.748 eV per atom
**Crystal system**: trigonal

---

9.
Compound: Li3Au
Source: Alexandria via LeMat-Bulk
Functional: PBE
Structure: optimized geometry

Cell lengths 5.025, 5.025, 5.025 Å; angles 90.00, 90.00, 90.00 degrees
Element x y z (fractional)
Li (0.000, 0.000, 0.500)
Li (0.000, 0.500, 0.000)
Li (0.500, 0.000, 0.000)
Au (0.000, 0.000, 0.000)

Calculated values
**VASP energy**: -2.255 eV per atom
**Crystal system**: cubic

---

10.
Compound: Rb2ReBiI6
Source: Alexandria via LeMat-Bulk
Functional: PBE
Structure: optimized geometry

Cell lengths 8.556, 8.556, 8.556 Å; angles 119.93, 119.93, 90.13 degrees
Element x y z (fractional)
Rb (0.250, 0.750, 0.500)
Rb (0.750, 0.250, 0.500)
Re (0.000, 0.000, 0.000)
Bi (0.500, 0.500, 0.000)
I (0.233, 0.233, 0.000)
I (0.233, 0.233, 0.466)
I (0.233, 0.767, 0.000)
I (0.767, 0.233, 0.000)
I (0.767, 0.767, 0.000)
I (0.767, 0.767, 0.534)

Calculated values
**VASP energy**: -3.134 eV per atom
**Crystal system**: tetragonal
**Uncorrected formation energy**: -378 meV per atom

---

11.
Compound: KAcCd
Source: Alexandria via LeMat-Bulk
Functional: PBE
Structure: optimized geometry

Cell lengths 4.174, 4.174, 14.923 Å; angles 90.35, 90.35, 90.01 degrees
Element x y z (fractional)
K (0.244, 0.244, 0.130)
K (0.756, 0.756, 0.870)
Ac (0.248, 0.248, 0.412)
Ac (0.752, 0.752, 0.588)
Cd (0.255, 0.255, 0.709)
Cd (0.745, 0.745, 0.291)

Calculated values
**Excess energy over the best structure of this formula in the dataset**: 0 meV per atom
**VASP energy**: -2.133 eV per atom
**Crystal system**: monoclinic

---

12.
Compound: Pr6NdHo
Source: Alexandria via LeMat-Bulk
Functional: PBE
Structure: optimized geometry

Cell lengths 5.213, 5.213, 10.423 Å; angles 90.00, 90.00, 90.00 degrees
Element x y z (fractional)
Pr (0.000, 0.000, 0.000)
Pr (0.000, 0.000, 0.500)
Pr (0.000, 0.500, 0.247)
Pr (0.000, 0.500, 0.753)
Pr (0.500, 0.000, 0.247)
Pr (0.500, 0.000, 0.753)
Nd (0.500, 0.500, 0.500)
Ho (0.500, 0.500, 0.000)

Calculated values
**VASP energy**: -4.738 eV per atom
**Crystal system**: tetragonal

---

Question: Which formula does entry 9 have?
Answer: Li3Au

---

Question: Among the records above, which one has the highest VASP energy?
Answer: KAcCd

---

Question: Among the records above, which one has the highest VASP energy?
Answer: KAcCd

---

Question: Which of these has the lowest VASP energy?
Answer: Cr2FeMoN